Compound: CdSnHg
Source: Alexandria
Functional: GGA-PBE
Structure: optimized geometry

Results
electronic total energy	-10.04	eV/cell
energy of formation from the pure elements	0.066	eV/atom

a = 3.2709 Å, b = 3.2709 Å, c = 14.1659 Å
α = 90.00°, β = 90.00°, γ = 90.00°
Last column: nearest neighbours and their distance in Å.
Space group I4mm (No. 107)
One atom of each set of equivalent atoms:
Cd 0.0000 0.0000 0.0000 (multiplicity 2)  4 Hg 3.20, 4 Cd 3.27, 4 Sn 3.32
Sn 0.0000 0.0000 0.6684 (multiplicity 2)  4 Sn 3.27, 4 Cd 3.32, 4 Hg 3.39
Hg 0.0000 0.0000 0.3437 (multiplicity 2)  4 Cd 3.20, 4 Hg 3.27, 4 Sn 3.39